Entry 1:
A plane-wave DFT calculation with meta-GGA SCAN was carried out for a crystal of InRu2Se relaxed with PBEsol.

Cell lengths 3.9384, 3.9384, 4.9709 Å; angles 113.34, 113.34, 90.00 degrees
Closest atoms and distances in Å follow each position.
Sites, in units of the cell vectors:
1 In 0.2500 0.7500 0.5000  8 Ru 2.78-2.85, 4 Se 2.85
2 Ru 0.0000 0.0000 0.0000  4 Se 2.78, 4 In 2.85, 4 Ru 2.85
3 Ru 0.7500 0.2500 0.5000  4 In 2.78, 4 Se 2.85, 4 Ru 2.85
4 Se 0.5000 0.5000 0.0000  8 Ru 2.78-2.85, 4 In 2.85

Calculated values
- SG: I-4m2
- Calculated volume: 15.967 A^3/atom
- DOS(E_F): 4.75 states/eV per cell
- Distance to the lowest polymorph of the same formula: 0.372 eV/atom
- Spin magnetization: 0.00 μB/f.u.
- Raw formation energy: 0.556 eV per atom


Entry 2:
A plane-wave DFT calculation with meta-GGA SCAN was carried out for a crystal of LiCrF4 relaxed with PBEsol.

Cell lengths 7.2117, 9.2823, 9.2823 Å; angles 65.87, 80.16, 80.16 degrees
Closest atoms and distances in Å follow each position.
Sites, in units of the cell vectors:
1 Li 0.8877 0.9102 0.4745  4 F 1.81-2.01
2 Li 0.3877 0.4745 0.9102  4 F 1.81-2.01
3 Li 0.1732 0.6117 0.6488  3 F 1.86-2.05
4 Li 0.6732 0.6488 0.6117  3 F 1.86-2.05
5 Li 0.3268 0.3512 0.3883  3 F 1.86-2.05
6 Li 0.8268 0.3883 0.3512  3 F 1.86-2.05
7 Li 0.6123 0.5255 0.0898  4 F 1.81-2.01
8 Li 0.1123 0.0898 0.5255  4 F 1.81-2.01
9 Cr 0.0831 0.8245 0.8288  6 F 1.85-1.93
10 Cr 0.5831 0.8288 0.8245  6 F 1.85-1.93
11 Cr 0.9989 0.7421 0.2526  6 F 1.83-1.96
12 Cr 0.5011 0.7474 0.2579  6 F 1.83-1.96
13 Cr 0.4989 0.2526 0.7421  6 F 1.83-1.96
14 Cr 0.0011 0.2579 0.7474  6 F 1.83-1.96
15 Cr 0.4169 0.1712 0.1755  6 F 1.85-1.93
16 Cr 0.9169 0.1755 0.1712  6 F 1.85-1.93
17 F 0.3326 0.8911 0.7624  2 Cr 1.91-1.92
18 F 0.3985 0.9666 0.1831  2 Cr 1.90-1.92
19 F 0.6764 0.8683 0.6151  1 Li 1.81, 1 Cr 1.85
20 F 0.0814 0.8495 0.6124  3 Li 1.91-2.10, 1 Cr 1.93
21 F 0.8326 0.7624 0.8911  2 Cr 1.91-1.92
22 F 0.0111 0.9523 0.2517  2 Cr 1.93-1.96, 1 Li 2.01
23 F 0.5026 0.7324 0.4608  1 Cr 1.83, 1 Li 1.86
24 F 0.1764 0.6151 0.8683  1 Li 1.81, 1 Cr 1.85
25 F 0.5814 0.6124 0.8495  3 Li 1.91-2.10, 1 Cr 1.93
26 F 0.1015 0.8169 0.0334  2 Cr 1.90-1.92
27 F 0.7500 0.8112 0.1888  2 Cr 1.91
28 F 0.2500 0.6777 0.3223  2 Cr 1.94
29 F 0.4889 0.7483 0.0477  2 Cr 1.93-1.96, 1 Li 2.01
30 F 0.9026 0.6984 0.4668  1 Cr 1.89, 2 Li 1.94-1.98
31 F 0.4026 0.4668 0.6984  1 Cr 1.89, 2 Li 1.94-1.98
32 F 0.0026 0.4608 0.7324  1 Cr 1.83, 1 Li 1.86
33 F 0.5111 0.2517 0.9523  2 Cr 1.93-1.96, 1 Li 2.01
34 F 0.9974 0.5392 0.2676  1 Cr 1.83, 1 Li 1.86
35 F 0.5974 0.5332 0.3016  1 Cr 1.89, 2 Li 1.94-1.98
36 F 0.0974 0.3016 0.5332  1 Cr 1.89, 2 Li 1.94-1.98
37 F 0.7500 0.3223 0.6777  2 Cr 1.94
38 F 0.2500 0.1888 0.8112  2 Cr 1.91
39 F 0.8985 0.1831 0.9666  2 Cr 1.90-1.92
40 F 0.4186 0.3876 0.1505  3 Li 1.91-2.10, 1 Cr 1.93
41 F 0.8236 0.3849 0.1317  1 Li 1.81, 1 Cr 1.85
42 F 0.4974 0.2676 0.5392  1 Cr 1.83, 1 Li 1.86
43 F 0.9889 0.0477 0.7483  2 Cr 1.93-1.96, 1 Li 2.01
44 F 0.1674 0.2376 0.1089  2 Cr 1.91-1.92
45 F 0.9186 0.1505 0.3876  3 Li 1.91-2.10, 1 Cr 1.93
46 F 0.3236 0.1317 0.3849  1 Li 1.81, 1 Cr 1.85
47 F 0.6015 0.0334 0.8169  2 Cr 1.90-1.92
48 F 0.6674 0.1089 0.2376  2 Cr 1.91-1.92

Calculated values
- SG: C2/c
- Calculated volume: 11.566 A^3/atom
- DOS(E_F): 0.00 states/eV per cell
- Spin magnetization: 3.00 μB/f.u.
- Raw formation energy: -3.110 eV per atom


Entry 3:
A plane-wave DFT calculation with meta-GGA SCAN was carried out for a crystal of RbSbI2O relaxed with PBEsol.

Cell lengths 4.0202, 6.4134, 6.4134 Å; angles 90.00, 90.00, 90.00 degrees
Closest atoms and distances in Å follow each position.
Sites, in units of the cell vectors:
1 I 0.0000 0.0000 0.5000  2 O 3.21
2 I 0.0000 0.5000 0.0000  2 O 3.21
3 Sb 0.5000 0.0000 0.0000  2 O 2.01
4 O 0.0000 0.0000 0.0000  2 Sb 2.01
5 Rb 0.5000 0.5000 0.5000  8 I 3.78, 2 Rb 4.02

Calculated values
- SG: P4/mmm
- Calculated volume: 33.071 A^3/atom
- DOS(E_F): 2.43 states/eV per cell
- Spin magnetization: 0.00 μB/f.u.
- Raw formation energy: -0.538 eV per atom


Entry 4:
A plane-wave DFT calculation with meta-GGA SCAN was carried out for a crystal of KTiCl3 relaxed with PBEsol.

Cell lengths 5.4314, 12.3276, 12.3276 Å; angles 120.00, 90.00, 90.00 degrees
Closest atoms and distances in Å follow each position.
Sites, in units of the cell vectors:
1 K 0.8235 0.0013 0.3327  9 Cl 3.16-3.48
2 K 0.8235 0.3314 0.9987  9 Cl 3.16-3.48
3 K 0.3235 0.9987 0.6673  9 Cl 3.16-3.48
4 K 0.3235 0.3327 0.3314  9 Cl 3.16-3.48
5 K 0.8235 0.6673 0.6686  9 Cl 3.16-3.48
6 K 0.3235 0.6686 0.0013  9 Cl 3.16-3.48
7 Ti 0.0719 0.0000 0.0000  6 Cl 2.49, 2 Ti 2.72
8 Ti 0.5942 0.6667 0.3333  6 Cl 2.47-2.50, 1 Ti 2.52
9 Ti 0.0587 0.6667 0.3333  6 Cl 2.47-2.50, 1 Ti 2.52
10 Ti 0.5719 0.0000 0.0000  6 Cl 2.49, 2 Ti 2.72
11 Ti 0.0942 0.3333 0.6667  6 Cl 2.47-2.50, 1 Ti 2.52
12 Ti 0.5587 0.3333 0.6667  6 Cl 2.47-2.50, 1 Ti 2.52
13 Cl 0.3264 0.1824 0.4794  2 Ti 2.47
14 Cl 0.8264 0.8176 0.5206  2 Ti 2.47
15 Cl 0.3264 0.5218 0.1536  2 Ti 2.50
16 Cl 0.3264 0.5206 0.7030  2 Ti 2.47
17 Cl 0.3264 0.8464 0.3681  2 Ti 2.50
18 Cl 0.3219 0.8511 0.8161  2 Ti 2.49
19 Cl 0.8264 0.4782 0.8464  2 Ti 2.50
20 Cl 0.3219 0.9650 0.1489  2 Ti 2.49
21 Cl 0.8219 0.0350 0.8511  2 Ti 2.49
22 Cl 0.3219 0.1839 0.0350  2 Ti 2.49
23 Cl 0.8219 0.1489 0.1839  2 Ti 2.49
24 Cl 0.8264 0.7030 0.1824  2 Ti 2.47
25 Cl 0.8219 0.8161 0.9650  2 Ti 2.49
26 Cl 0.3264 0.2970 0.8176  2 Ti 2.47
27 Cl 0.8264 0.4794 0.2970  2 Ti 2.47
28 Cl 0.8264 0.1536 0.6319  2 Ti 2.50
29 Cl 0.8264 0.3681 0.5218  2 Ti 2.50
30 Cl 0.3264 0.6319 0.4782  2 Ti 2.50

Calculated values
- SG: P6_3
- Calculated volume: 23.827 A^3/atom
- DOS(E_F): 8.38 states/eV per cell
- Spin magnetization: 1.24 μB/f.u.
- Raw formation energy: -1.884 eV per atom


Entry 5:
A plane-wave DFT calculation with meta-GGA SCAN was carried out for a crystal of Cd2TeOs relaxed with PBEsol.

Cell lengths 3.2752, 4.6291, 5.8882 Å; angles 112.95, 105.88, 90.65 degrees
Closest atoms and distances in Å follow each position.
Sites, in units of the cell vectors:
1 Te 0.0000 0.0000 0.0000  4 Os 2.82-2.85, 4 Cd 2.94
2 Os 0.5000 0.5000 0.0000  4 Te 2.82-2.85, 4 Cd 2.94
3 Cd 0.0000 0.0000 0.5000  4 Cd 2.82-2.85, 2 Te 2.94, 2 Os 2.94
4 Cd 0.5000 0.5000 0.5000  4 Cd 2.82-2.85, 2 Os 2.94, 2 Te 2.94

Calculated values
- SG: C2/m
- Calculated volume: 19.590 A^3/atom
- DOS(E_F): 3.28 states/eV per cell
- Spin magnetization: 0.00 μB/f.u.
- Raw formation energy: 0.664 eV per atom


Entry 6:
A plane-wave DFT calculation with meta-GGA SCAN was carried out for a crystal of Sr2Ag2Hg relaxed with PBEsol.

Cell lengths 4.3487, 7.9364, 7.9364 Å; angles 90.00, 90.00, 90.00 degrees
Closest atoms and distances in Å follow each position.
Sites, in units of the cell vectors:
1 Sr 0.5000 0.1788 0.6788  6 Ag 3.12-3.26
2 Sr 0.5000 0.6788 0.8212  6 Ag 3.12-3.26
3 Sr 0.5000 0.8212 0.3212  6 Ag 3.12-3.26
4 Sr 0.5000 0.3212 0.1788  6 Ag 3.12-3.26
5 Hg 0.0000 0.0000 0.0000  4 Ag 3.15
6 Hg 0.0000 0.5000 0.5000  4 Ag 3.15
7 Ag 0.0000 0.3778 0.8778  1 Ag 2.74
8 Ag 0.0000 0.8778 0.6222  1 Ag 2.74
9 Ag 0.0000 0.6222 0.1222  1 Ag 2.74
10 Ag 0.0000 0.1222 0.3778  1 Ag 2.74

Calculated values
- SG: P4/mbm
- Formation enthalpy at 0 K: -364 meV per atom
- Calculated volume: 27.391 A^3/atom
- DOS(E_F): 5.64 states/eV per cell
- Spin magnetization: 0.00 μB/f.u.